First-principles (PBE) data for a relaxed structure of Dy4Ho5Sc4, as listed in Alexandria.

POSCAR file:
```
Dy4Ho5Sc4
1.0
-1.889 -2.549 -3.711
-1.396 -8.398 3.267
-9.033 1.050 0.665
Dy Ho Sc
4 5 4
Cartesian
-5.746 -3.637 -1.000 Dy
-3.639 -4.417 1.674 Dy
-8.679 -5.479 -1.454 Dy
-6.572 -6.259 1.221 Dy
-3.448 -7.660 0.593 Ho
-8.870 -2.237 -0.372 Ho
-2.902 -1.800 -0.499 Ho
-9.416 -8.097 0.719 Ho
0.000 0.000 0.000 Ho
-5.937 -0.396 0.082 Sc
-2.684 -5.128 -1.535 Sc
-9.634 -4.768 1.755 Sc
-6.381 -9.501 0.139 Sc
```

Calculated values
space group: I4/m (87)
E_tot: -0.1867 Ha/atom
calculated formation energy: 0.04 eV per atom